The following is a DFT calculation (PBE) of a geometry-optimized La2Nd4Sm3 structure.

```
9
Lattice="3.673 0.000 0.000 -1.836 3.181 0.000 0.000 0.000 27.479" Properties=species:S:1:pos:R:3 pbc="T T T"
La 0.000 0.000 0.000
La 0.000 0.000 6.011
Nd 0.000 0.000 9.529
Nd 0.000 0.000 15.443
Nd 0.000 2.120 18.443
Nd 0.000 2.120 24.392
Sm 0.000 0.000 21.436
Sm 0.000 2.120 3.066
Sm 0.000 2.120 12.405
```

Values from the calculation:
Offset from the most stable computed form ... 42 meV per atom
Space-group type ... P3m1
DFT formation energy ... 0.058 eV per atom
N(E_F) ... 17.13 states/eV per cell
Theoretical density ... 6.8 g/cm³